Computed, not measured: crystalline ThCuHgRh at its relaxed geometry at the PBE level of DFT.

Computed properties:
Fermi-level density of states ... 0.972 states/eV per atom
Energy relative to the elements ... -0.291 eV/atom
Magnetic moment ... 0.00 μB/cell

Structure (CIF):
```
data_ThCuHgRh
_symmetry_space_group_name_H-M 'F -4 3 m'
_symmetry_Int_Tables_number 216
_symmetry_space_group_name_Hall 'F -4 2 3'
_cell_length_a 6.863
_cell_length_b 6.863
_cell_length_c 6.863
_cell_angle_alpha 90.00
_cell_angle_beta 90.00
_cell_angle_gamma 90.00
loop_
_atom_site_label
_atom_site_fract_x
_atom_site_fract_y
_atom_site_fract_z
Th1 0.000 0.000 0.000
Cu1 0.250 0.250 0.250
Hg1 0.000 0.000 0.500
Rh1 0.250 0.250 0.750
```

Computed, not measured: crystalline TaHPb2 at its relaxed geometry at the PBE level of DFT.

Computed properties:
Fermi-level density of states ... 0.079 states/eV per atom
Excess energy over the best structure of this formula in the dataset ... 0.0 kJ per mole of atoms
Magnetic moment ... 0.00 μB/cell

Structure (CIF):
```
data_TaHPb2
_symmetry_space_group_name_H-M 'I -4 2 d'
_symmetry_Int_Tables_number 122
_symmetry_space_group_name_Hall 'I -4 2bw'
_cell_length_a 6.747
_cell_length_b 6.747
_cell_length_c 6.800
_cell_angle_alpha 90.00
_cell_angle_beta 90.00
_cell_angle_gamma 90.00
loop_
_atom_site_label
_atom_site_fract_x
_atom_site_fract_y
_atom_site_fract_z
Ta1 0.000 0.000 0.000
H1 0.000 0.000 0.500
Pb1 0.164 0.250 0.625
```